# UPdRu | Alexandria via LeMat-Bulk | PBE | optimized geometry
data_UPdRu
_chemical_formula_sum 'U12 Pd12 Ru12'
_symmetry_space_group_name_H-M 'I m a 2'
_symmetry_Int_Tables_number 46
_symmetry_space_group_name_Hall 'I 2 -2a'
_cell_length_a 9.584
_cell_length_b 10.290
_cell_length_c 6.787
_cell_angle_alpha 90.00
_cell_angle_beta 90.00
_cell_angle_gamma 90.00
loop_
_atom_site_label
_atom_site_fract_x
_atom_site_fract_y
_atom_site_fract_z
U1 0.009 0.195 0.000
U2 0.250 0.076 0.616
Pd1 0.250 0.154 0.247
Pd2 0.250 0.538 0.478
Pd3 0.250 0.696 0.148
Ru1 0.000 0.000 0.692
Ru2 0.083 0.606 0.812
# * electronic total energy: -8.756 eV/atom
# * formation energy: -49 kJ/mol of formula units